Entry from Alexandria via LeMat-Bulk: CrFeBr2 after structural relaxation (PBE).

V = 20.85 Å³/atom
density = 5.33 g cm⁻³
excess energy over the best structure of this formula in the dataset = 0.285 eV/atom
magnetization = 0.474 μB per atom
formation energy without anion corrections = 348 meV/atom
VASP energy = -0.36826 Ry per atom
crystal system = trigonal

abc: 7.9345 7.9345 7.9345
angles: 25.81 25.81 25.81
Last column: nearest neighbours and their distance in Å.
Element x y z (fractional)
Br (0.0104, 0.0104, 0.0104)  3 Fe 2.65
Br (0.4896, 0.4896, 0.4896)  3 Fe 2.65
Fe (0.7500, 0.7500, 0.7500)  6 Br 2.65
Cr (0.2500, 0.2500, 0.2500)  6 Br 2.97